A relaxed ReWN2O crystal. Source: the Alexandria database, functional GGA+U.

* space-group type: P4/mmm, No. 123
* total energy: -7.821 eV/atom

Cell and atoms, written as POSCAR:
```
ReWN2O
1.0
-2.895 -2.505 1.120
2.742 -2.716 1.011
0.121 1.429 3.510
N O W Re
2 1 1 1
Cartesian
-1.448 -1.253 0.560
1.371 -1.358 0.506
0.061 0.715 1.755
-0.016 -1.896 2.821
0.000 0.000 0.000
```